Computed, not measured: ReTc2Os after structural relaxation at the GGA-PBE level of DFT.

The structure in POSCAR format:
```
ReTc2Os
1.0
4.277 0.000 0.000
0.000 1.370 5.054
0.000 -1.370 5.054
Re Tc Os
1 2 1
Cartesian
0.000 0.000 0.000
0.000 0.000 7.504
2.139 0.000 1.284
2.139 0.000 3.928
```

Space-group type: Amm2 (38)
Volume, Å³ per cell: 59.22
VASP energy, eV for the cell shown: -43.984
M_tot, Bohr magnetons per cell: 0.000
Formation energy, eV/atom: 0.11